[1]
SrLiCu2 | PBE | relaxed

Cell lengths 4.771, 4.771, 16.854 Å; angles 90.00, 90.00, 90.00 degrees
Space group I4_1/amd (No. 141, origin choice 2)
Unique sites:
Sr 0.000 0.250 0.375 (multiplicity 4)
Li 0.000 0.250 0.875 (multiplicity 4)
Cu 0.000 0.000 0.000 (multiplicity 8)

Output
mass density	3837	kg/m3
energy relative to the elements	0.107	eV/atom
total moment	0.0	μB/cell
DFT total energy	-2.840	eV/atom
calculated volume	23.98	A^3/atom

[2]
AgPtCl2 | PBE | relaxed

Cell lengths 3.599, 3.599, 13.359 Å; angles 90.00, 90.00, 90.00 degrees
Space group I-4m2 (No. 119)
Unique sites:
Ag 0.000 0.000 0.000 (multiplicity 2)
Pt 0.000 0.500 0.250 (multiplicity 2)
Cl 0.000 0.000 0.500 (multiplicity 2)
Cl 0.000 0.500 0.750 (multiplicity 2)

Output
mass density	7175	kg/m3
total moment	0.0	μB/cell
formation energy from raw total energies	0.159	eV per atom
DFT total energy	-2.987	eV/atom
calculated volume	21.63	A^3/atom

[3]
TiHSe | PBE | relaxed

Cell lengths 7.004, 7.028, 6.361 Å; angles 90.00, 90.00, 90.00 degrees
Space group Cmce (No. 64)
Unique sites:
Ti 0.193 0.000 0.000 (multiplicity 8)
H 0.250 0.099 0.250 (multiplicity 8)
Se 0.000 0.185 0.641 (multiplicity 8)

Output
mass density	5424	kg/m3
total moment	0.0	μB/cell
DFT total energy	-5.396	eV/atom
calculated volume	13.04	A^3/atom

[4]
DyZnPb | PBE | relaxed

Cell lengths 6.751, 6.751, 6.751 Å; angles 90.00, 90.00, 90.00 degrees
Space group F-43m (No. 216)
Unique sites:
Dy 0.000 0.000 0.000 (multiplicity 4)
Zn 0.250 0.250 0.250 (multiplicity 4)
Pb 0.000 0.000 0.500 (multiplicity 4)

Output
mass density	9392	kg/m3
energy relative to the elements	-0.231	eV/atom
total moment	0.0	μB/cell
DFT total energy	-3.426	eV/atom
calculated volume	25.64	A^3/atom

[5]
Cs2SnPI6 | PBE | relaxed

Cell lengths 8.497, 8.497, 11.975 Å; angles 90.00, 90.00, 90.00 degrees
Space group I4/mmm (No. 139)
Unique sites:
Cs 0.000 0.500 0.250 (multiplicity 4)
Sn 0.000 0.000 0.000 (multiplicity 2)
P 0.000 0.000 0.500 (multiplicity 2)
I 0.000 0.000 0.262 (multiplicity 4)
I 0.241 0.241 0.500 (multiplicity 8)

Output
mass density	4520	kg/m3
total moment	0.0	μB/cell
formation energy from raw total energies	-0.699	eV per atom
DFT total energy	-2.741	eV/atom
calculated volume	43.23	A^3/atom

[6]
Tl2CuBi | PBE | relaxed

Cell lengths 3.4082, 3.4082, 33.5843 Å; angles 90.00, 90.00, 120.00 degrees
Space group R-3m (No. 166, hexagonal axes)
Unique sites:
Tl 0.0000 0.0000 0.0791 (multiplicity 6)
Cu 0.0000 0.0000 0.0000 (multiplicity 3)
Bi 0.0000 0.0000 0.5000 (multiplicity 3)

Output
mass density	10046	kg/m3
energy relative to the elements	0.360	eV/atom
total moment	0.0	μB/cell
DFT total energy	-2.818	eV/atom
calculated volume	28.15	A^3/atom

[7]
ReB2 | PBE | relaxed

Cell lengths 2.9244, 2.9244, 11.2611 Å; angles 90.00, 90.00, 120.00 degrees
Space group R-3m (No. 166, hexagonal axes)
Unique sites:
Re 0.0000 0.0000 0.0000 (multiplicity 3)
B 0.0000 0.0000 0.1974 (multiplicity 6)

Output
mass density	12413	kg/m3
energy relative to the elements	-0.360	eV/atom
total moment	0.0	μB/cell
DFT total energy	-8.961	eV/atom
calculated volume	9.27	A^3/atom

[8]
Ti2Nb2In | PBE | relaxed

Cell lengths 5.139, 7.294, 5.606 Å; angles 90.00, 90.00, 90.00 degrees
Space group Cmmm (No. 65)
Unique sites:
Ti 0.000 0.000 0.233 (multiplicity 4)
Nb 0.000 0.334 0.000 (multiplicity 4)
In 0.000 0.500 0.500 (multiplicity 2)

Output
mass density	6265	kg/m3
energy relative to the elements	0.397	eV/atom
total moment	0.0	μB/cell
DFT total energy	-7.336	eV/atom
calculated volume	21.01	A^3/atom

[9]
PrMnGa3 | PBE | relaxed

Cell lengths 4.623, 4.623, 4.623 Å; angles 90.00, 90.00, 90.00 degrees
Space group Pm-3m (No. 221)
Unique sites:
Pr 0.000 0.000 0.000 (multiplicity 1)
Mn 0.500 0.500 0.500 (multiplicity 1)
Ga 0.000 0.500 0.500 (multiplicity 3)

Output
mass density	6805	kg/m3
energy relative to the elements	-0.370	eV/atom
total moment	0.0	μB/cell
DFT total energy	-4.975	eV/atom
calculated volume	19.77	A^3/atom

[10]
PuTiSbAu | PBE | relaxed

Cell lengths 7.109, 7.109, 7.109 Å; angles 90.00, 90.00, 90.00 degrees
Space group F-43m (No. 216)
Unique sites:
Pu 0.000 0.000 0.000 (multiplicity 4)
Ti 0.000 0.000 0.500 (multiplicity 4)
Sb 0.250 0.250 0.250 (multiplicity 4)
Au 0.250 0.250 0.750 (multiplicity 4)

Output
mass density	11291	kg/m3
total moment	31.4	μB/cell
formation energy from raw total energies	-0.348	eV per atom
DFT total energy	-7.755	eV/atom
calculated volume	22.45	A^3/atom

[11]
LaCePr2S4 | PBE | relaxed

Cell lengths 7.093, 4.092, 7.122 Å; angles 90.00, 109.42, 90.00 degrees
Space group P2/m (No. 10)
Unique sites:
La 0.000 0.000 0.000 (multiplicity 1)
Ce 0.000 0.500 0.500 (multiplicity 1)
Pr 0.500 0.000 0.500 (multiplicity 1)
Pr 0.500 0.500 0.000 (multiplicity 1)
S 0.246 0.000 0.745 (multiplicity 2)
S 0.249 0.500 0.254 (multiplicity 2)

Output
mass density	5870	kg/m3
total moment	0.8	μB/cell
formation energy from raw total energies	-2.065	eV per atom
DFT total energy	-6.682	eV/atom
calculated volume	24.37	A^3/atom

[12]
NdHo5Sc4 | PBE | relaxed

Cell lengths 9.813, 9.813, 6.164 Å; angles 90.00, 90.00, 90.00 degrees
Space group I4 (No. 79)
Unique sites:
Nd 0.000 0.000 0.000 (multiplicity 2)
Ho 0.000 0.000 0.544 (multiplicity 2)
Ho 0.147 0.245 0.273 (multiplicity 8)
Sc 0.057 0.359 0.770 (multiplicity 8)

Output
mass density	6427	kg/m3
energy relative to the elements	0.337	eV/atom
total moment	0.0	μB/cell
DFT total energy	-4.961	eV/atom
calculated volume	29.68	A^3/atom

Question: Among the records above, which one has the highest mass density?
Answer: ReB2